*i*
An optimized crystal structure of Al3As. Source: Alexandria via LeMat-Bulk, functional PBE-GGA.

Space group = P6_3/mmc

Cell: 5.835 5.835 4.763 Å, 90.00 90.00 120.00°
Element x y z (fractional)
Al: 0.834 0.166 0.250
Al: 0.834 0.668 0.250
Al: 0.166 0.332 0.750
Al: 0.668 0.834 0.750
Al: 0.166 0.834 0.750
Al: 0.332 0.166 0.250
As: 0.667 0.333 0.750
As: 0.333 0.667 0.250

*ii*
An optimized crystal structure of Al3As. Source: Alexandria via LeMat-Bulk, functional PBE-GGA.

Space group = I4/mmm

Cell: 9.054 9.054 9.054 Å, 154.24 154.24 36.75°
Element x y z (fractional)
Al: 0.750 0.250 0.500
Al: 0.870 0.870 0.000
Al: 0.000 0.500 0.500
Al: 0.130 0.130 0.000
Al: 0.250 0.750 0.500
Al: 0.500 0.000 0.500
As: 0.385 0.385 0.000
As: 0.615 0.615 0.000

Which structure is the most stable? The one labeled *ii*.